No. 1
An optimized crystal structure of Dy8GaTe4Se3, computed with PBE.

It has space group R-3m (No. 166, hexagonal axes), with a = 8.3909 Å, b = 8.3909 Å, c = 21.1895 Å, α = 90.00°, β = 90.00° and γ = 120.00°. Symmetry generates all atoms from Dy at (0.0000, 0.0000, 0.2391), Dy at (0.0078, 0.5039, 0.2398), Ga at (0.0000, 0.0000, 0.5000), Te at (0.0000, 0.0000, 0.0000), Te at (0.0000, 0.5000, 0.0000) and Se at (0.0000, 0.5000, 0.5000).

Its energy is -5.35 eV per atom.


No. 2
An optimized crystal structure of DyThGaSe, computed with PBE.

It has space group R3m (No. 160, hexagonal axes), with a = 4.2048 Å, b = 4.2048 Å, c = 20.7267 Å, α = 90.00°, β = 90.00° and γ = 120.00°. Symmetry generates all atoms from Dy at (0.0000, 0.0000, 0.0000), Th at (0.0000, 0.0000, 0.4960), Ga at (0.0000, 0.0000, 0.7459) and Se at (0.0000, 0.0000, 0.2515).

Its energy is -5.67 eV per atom.


No. 3
An optimized crystal structure of DyTl2GaSe4, computed with PBE.

It has space group Imma (No. 74), with a = 8.415 Å, b = 8.543 Å, c = 12.157 Å, α = 90.00°, β = 90.00° and γ = 90.00°. Symmetry generates all atoms from Dy at (0.000, 0.000, 0.000), Tl at (0.000, 0.000, 0.500), Tl at (0.250, 0.250, 0.250), Ga at (0.250, 0.250, 0.750), Se at (0.000, 0.040, 0.761) and Se at (0.226, 0.250, 0.980).

Its energy is -4.09 eV per atom.


No. 4
An optimized crystal structure of DyTmGaSe, computed with PBE.

It has space group R3m (No. 160, hexagonal axes), with a = 3.9282 Å, b = 3.9282 Å, c = 21.8224 Å, α = 90.00°, β = 90.00° and γ = 120.00°. Symmetry generates all atoms from Dy at (0.0000, 0.0000, 0.0000), Tm at (0.0000, 0.0000, 0.4977), Ga at (0.0000, 0.0000, 0.2478) and Se at (0.0000, 0.0000, 0.7502).

Its energy is -5.05 eV per atom.


No. 5
An optimized crystal structure of DyYGaSe, computed with PBE.

It has space group R3m (No. 160, hexagonal axes), with a = 3.9648 Å, b = 3.9648 Å, c = 21.9440 Å, α = 90.00°, β = 90.00° and γ = 120.00°. Symmetry generates all atoms from Dy at (0.0000, 0.0000, 0.0000), Y at (0.0000, 0.0000, 0.5028), Ga at (0.0000, 0.0000, 0.7511) and Se at (0.0000, 0.0000, 0.2516).

Its energy is -5.58 eV per atom.


No. 6
An optimized crystal structure of Dy2GaSi, computed with PBE.

It has space group R-3m (No. 166, hexagonal axes), with a = 3.7980 Å, b = 3.7980 Å, c = 23.8628 Å, α = 90.00°, β = 90.00° and γ = 120.00°. Symmetry generates all atoms from Dy at (0.0000, 0.0000, 0.2443), Ga at (0.0000, 0.0000, 0.0000) and Si at (0.0000, 0.0000, 0.5000).

Its energy is -4.84 eV per atom.


No. 7
An optimized crystal structure of Dy3Ga2Si3, computed with PBE.

It has space group Cmcm (No. 63), with a = 4.131 Å, b = 10.803 Å, c = 14.382 Å, α = 90.00°, β = 90.00° and γ = 90.00°. Symmetry generates all atoms from Dy at (0.000, 0.061, 0.115), Dy at (0.000, 0.349, 0.250), Ga at (0.000, 0.224, 0.604), Si at (0.000, 0.371, 0.750) and Si at (0.000, 0.390, 0.037).

Its energy is -5.13 eV per atom.


No. 8
An optimized crystal structure of Dy4Ga3Si, computed with PBE.

It has space group Pmm2 (No. 25), with a = 3.989 Å, b = 4.345 Å, c = 10.799 Å, α = 90.00°, β = 90.00° and γ = 90.00°. Symmetry generates all atoms from Dy at (0.000, 0.000, 0.000), Dy at (0.000, 0.500, 0.493), Dy at (0.500, 0.000, 0.716), Dy at (0.500, 0.500, 0.218), Ga at (0.000, 0.500, 0.779), Ga at (0.500, 0.000, 0.431), Ga at (0.500, 0.500, 0.936) and Si at (0.000, 0.000, 0.281).

Its energy is -4.80 eV per atom.


No. 9
An optimized crystal structure of Dy3GaSi, computed with PBE.

It has space group P-1 (No. 2), with a = 4.070 Å, b = 7.731 Å, c = 8.255 Å, α = 87.63°, β = 89.96° and γ = 74.80°. Symmetry generates all atoms from Dy at (0.048, 0.403, 0.181), Dy at (0.236, 0.029, 0.823), Dy at (0.403, 0.693, 0.416), Ga at (0.206, 0.090, 0.430) and Si at (0.394, 0.711, 0.062).

Its energy is -4.93 eV per atom.


No. 10
An optimized crystal structure of Dy5GaSi2, computed with PBE.

It has space group I4/mcm (No. 140), with a = 7.550 Å, b = 7.550 Å, c = 13.848 Å, α = 90.00°, β = 90.00° and γ = 90.00°. Symmetry generates all atoms from Dy at (0.000, 0.000, 0.000), Dy at (0.173, 0.327, 0.143), Ga at (0.000, 0.000, 0.250) and Si at (0.122, 0.378, 0.500).

Its energy is -5.23 eV per atom.


No. 11
An optimized crystal structure of DyGaSi2, computed with PBE.

It has space group R-3m (No. 166, hexagonal axes), with a = 4.3285 Å, b = 4.3285 Å, c = 14.3487 Å, α = 90.00°, β = 90.00° and γ = 120.00°. Symmetry generates all atoms from Dy at (0.0000, 0.0000, 0.0000), Ga at (0.0000, 0.0000, 0.5000) and Si at (0.0000, 0.0000, 0.2103).

Its energy is -4.83 eV per atom.


No. 12
An optimized crystal structure of DyGaSi2, computed with PBE.

It has space group P4/mmm (No. 123), with a = 4.218 Å, b = 4.218 Å, c = 4.131 Å, α = 90.00°, β = 90.00° and γ = 90.00°. Symmetry generates all atoms from Dy at (0.000, 0.000, 0.000), Ga at (0.500, 0.500, 0.000) and Si at (0.000, 0.500, 0.500).

Its energy is -4.93 eV per atom.


Q: Which formation energy from raw total energies values were calculated for the entries above? A: -1.42, -1.04, -0.81, -1.15, -1.19, -0.43, -0.62, -0.69, -0.48, -0.62, -0.22, -0.31, in eV per atom.
Q: Which DOS(E_F) values were calculated for the entries above? A: 7.32, 2.21, 2.14, 1.52, 1.62, 2.91, 3.84, 6.50, 4.30, 5.54, 1.66, 1.54, in states/eV/f.u..
Q: Which magnetic moment values were calculated for the entries above? A: 0.00, 0.00, 0.00, 0.00, 0.00, 0.00, 0.00, 0.00, 0.00, 0.00, 0.00, 0.00, in μB per formula unit.